# Tb4ErAu5 | Alexandria via LeMat-Bulk | GGA-PBE | optimized geometry
# Fermi-level density of states ... 0.40 states/eV/atom
# M_tot ... 0.00 Bohr magnetons per cell
# E ... -4.806 eV/atom
# DFT formation energy ... -19.8 kcal/mol of atoms
# Theoretical density ... 12.7 g/cm3
data_Tb4ErAu5
_chemical_formula_sum 'Tb4 Er1 Au5'
_cell_length_a 3.578
_cell_length_b 3.578
_cell_length_c 18.300
_cell_angle_alpha 90.00
_cell_angle_beta 90.00
_cell_angle_gamma 90.00
_space_group_name_H-M_alt 'P 4/m m m'
_space_group_IT_number 123
_space_group_name_Hall '-P 4 2'
loop_
_atom_site_label
_atom_site_fract_x
_atom_site_fract_y
_atom_site_fract_z
Tb1 0.000 0.000 0.100
Tb2 0.000 0.000 0.301
Er1 0.000 0.000 0.500
Au1 0.500 0.500 0.000
Au2 0.500 0.500 0.201
Au3 0.500 0.500 0.403